# 1
Computed, not measured: crystalline CdIr2Ru at its relaxed geometry at the PBE level of DFT.

Values from the calculation:
Formation energy, eV per atom: 0.08
Total DFT energy (no corrections), eV per atom: -6.901

Geometry as extended XYZ:
```
4
Lattice="2.792 0.000 0.000 0.000 2.792 0.000 0.000 0.000 8.008" Properties=species:S:1:pos:R:3 pbc="T T T"
Cd 0.000 0.000 0.000
Ir 1.396 1.396 2.197
Ir 1.396 1.396 5.811
Ru 0.000 0.000 4.004
```



# 2
Computed, not measured: crystalline K2SiNi at its relaxed geometry at the PBE level of DFT.

Values from the calculation:
E_form (uncorrected), eV per formula unit: 2.941
Total DFT energy (no corrections), eV per atom: -2.615

Geometry as extended XYZ:
```
4
Lattice="-3.200 3.200 2.599 3.200 -3.200 2.599 3.200 3.200 -2.599" Properties=species:S:1:pos:R:3 pbc="T T T"
K 3.200 0.000 1.300
K 0.000 3.200 1.300
Si 0.000 0.000 0.000
Ni 0.000 0.000 2.599
```